# 1
! Pr3ZnSi3 GGA-PBE relaxed; values from VASP
&SYSTEM
  ibrav = 0, nat = 7, ntyp = 3
/
ATOMIC_SPECIES
Pr 140.91 Pr.upf
Zn 65.41 Zn.upf
Si 28.09 Si.upf
ATOMIC_POSITIONS crystal
Pr 0.000 0.000 0.000
Pr 0.190 0.690 0.500
Pr 0.370 0.370 0.000
Zn 0.620 0.120 0.500
Si 0.546 0.546 0.000
Si 0.750 0.250 0.500
Si 0.826 0.826 0.000
CELL_PARAMETERS angstrom
-2.025 2.200 9.241
2.025 -2.200 9.241
2.025 2.200 -9.241
! space-group type = Imm2, No. 44
! D(E_F) = 0.657 states/eV/atom
! volume = 165 Å³ per cell
! uncorrected formation energy = -0.6721 eV/atom
! mass density = 5.77 g/cm³

---

# 2
! SiHgAs2 GGA-PBE relaxed; values from VASP
&SYSTEM
  ibrav = 0, nat = 4, ntyp = 3
/
ATOMIC_SPECIES
Si 28.09 Si.upf
Hg 200.59 Hg.upf
As 74.92 As.upf
ATOMIC_POSITIONS crystal
Si 0.000 0.000 0.000
Hg 0.500 0.500 0.500
As 0.250 0.250 0.250
As 0.750 0.750 0.750
CELL_PARAMETERS angstrom
0.000 3.422 3.422
3.422 0.000 3.422
3.422 3.422 0.000
! space-group type = Fm-3m, No. 225
! D(E_F) = 0.582 states/eV/atom
! volume = 80 Å³ per cell
! uncorrected formation energy = 0.5547 eV/atom
! mass density = 7.84 g/cm³

---

# 3
! Ac2Mg6Cd GGA-PBE relaxed; values from VASP
&SYSTEM
  ibrav = 0, nat = 9, ntyp = 3
/
ATOMIC_SPECIES
Ac 227.00 Ac.upf
Mg 24.30 Mg.upf
Cd 112.41 Cd.upf
ATOMIC_POSITIONS crystal
Ac 0.163 0.163 0.371
Ac 0.837 0.837 0.629
Mg 0.128 0.665 0.151
Mg 0.335 0.872 0.849
Mg 0.352 0.352 0.819
Mg 0.648 0.648 0.181
Mg 0.665 0.128 0.151
Mg 0.872 0.335 0.849
Cd 0.500 0.500 0.500
CELL_PARAMETERS angstrom
5.443 -3.377 0.000
5.443 3.377 0.000
-0.656 0.000 6.950
! space-group type = C2/m, No. 12
! D(E_F) = 0.847 states/eV/atom
! DFT total energy = -2.16 eV per atom
! volume = 256 Å³ per cell
! mass density = 4.63 g/cm³

---

# 4
! KMgZn2F8 GGA-PBE relaxed; values from VASP
&SYSTEM
  ibrav = 0, nat = 12, ntyp = 4
/
ATOMIC_SPECIES
K 39.10 K.upf
Mg 24.30 Mg.upf
Zn 65.41 Zn.upf
F 19.00 F.upf
ATOMIC_POSITIONS crystal
K 0.000 0.000 0.000
Mg 0.000 0.000 0.500
Zn 0.476 0.485 0.692
Zn 0.524 0.515 0.308
F 0.206 0.808 0.690
F 0.211 0.798 0.307
F 0.294 0.304 0.489
F 0.339 0.378 0.913
F 0.661 0.622 0.087
F 0.706 0.696 0.511
F 0.789 0.202 0.693
F 0.794 0.192 0.310
CELL_PARAMETERS angstrom
4.765 0.000 0.000
0.332 4.760 0.000
0.378 0.150 7.831
! space-group type = P-1, No. 2
! D(E_F) = 0.566 states/eV/atom
! volume = 178 Å³ per cell
! uncorrected formation energy = -2.4714 eV/atom
! mass density = 3.24 g/cm³

---

# 5
! BaAc8La6 GGA-PBE relaxed; values from VASP
&SYSTEM
  ibrav = 0, nat = 15, ntyp = 3
/
ATOMIC_SPECIES
Ba 137.33 Ba.upf
Ac 227.00 Ac.upf
La 138.91 La.upf
ATOMIC_POSITIONS crystal
Ba 0.000 0.000 0.000
Ac 0.136 0.818 0.423
Ac 0.182 0.577 0.864
Ac 0.254 0.254 0.254
Ac 0.423 0.136 0.818
Ac 0.577 0.864 0.182
Ac 0.746 0.746 0.746
Ac 0.818 0.423 0.136
Ac 0.864 0.182 0.577
La 0.081 0.379 0.657
La 0.343 0.919 0.621
La 0.379 0.657 0.081
La 0.621 0.343 0.919
La 0.657 0.081 0.379
La 0.919 0.621 0.343
CELL_PARAMETERS angstrom
5.173 2.987 7.238
-5.173 2.987 7.238
0.000 -5.973 7.238
! space-group type = R-3, No. 148
! D(E_F) = 1.651 states/eV/atom
! DFT total energy = -4.06 eV per atom
! volume = 671 Å³ per cell
! mass density = 6.90 g/cm³

---

# 6
! TbNd4Tm GGA-PBE relaxed; values from VASP
&SYSTEM
  ibrav = 0, nat = 6, ntyp = 3
/
ATOMIC_SPECIES
Tb 158.93 Tb.upf
Nd 144.24 Nd.upf
Tm 168.93 Tm.upf
ATOMIC_POSITIONS crystal
Tb 0.000 0.000 0.000
Nd 0.165 0.835 0.500
Nd 0.335 0.665 0.000
Nd 0.665 0.335 0.000
Nd 0.835 0.165 0.500
Tm 0.500 0.500 0.500
CELL_PARAMETERS angstrom
2.572 -7.687 0.000
2.572 7.687 0.000
0.000 0.000 5.143
! space-group type = Cmmm, No. 65
! D(E_F) = 1.473 states/eV/atom
! volume = 203 Å³ per cell
! energy above the lowest structure with this stoichiometry = 0.00 eV/f.u.
! mass density = 7.39 g/cm³

---

# 7
! NaFe GGA-PBE relaxed; values from VASP
&SYSTEM
  ibrav = 0, nat = 8, ntyp = 2
/
ATOMIC_SPECIES
Na 22.99 Na.upf
Fe 55.84 Fe.upf
ATOMIC_POSITIONS crystal
Na 0.172 0.172 0.000
Na 0.328 0.672 0.500
Na 0.672 0.328 0.500
Na 0.828 0.828 0.000
Fe 0.134 0.134 0.500
Fe 0.366 0.634 0.000
Fe 0.634 0.366 0.000
Fe 0.866 0.866 0.500
CELL_PARAMETERS angstrom
5.697 0.000 0.000
0.000 5.697 0.000
0.000 0.000 5.792
! space-group type = P4_2/mnm, No. 136
! D(E_F) = 0.994 states/eV/atom
! DFT total energy = -3.71 eV per atom
! volume = 188 Å³ per cell
! mass density = 2.79 g/cm³

---

# 8
! Dy2SiGePt6 GGA-PBE relaxed; values from VASP
&SYSTEM
  ibrav = 0, nat = 20, ntyp = 4
/
ATOMIC_SPECIES
Dy 162.50 Dy.upf
Si 28.09 Si.upf
Ge 72.64 Ge.upf
Pt 195.08 Pt.upf
ATOMIC_POSITIONS crystal
Dy 0.250 0.002 0.234
Dy 0.250 0.498 0.234
Dy 0.750 0.502 0.766
Dy 0.750 0.998 0.766
Si 0.250 0.750 0.753
Si 0.750 0.250 0.247
Ge 0.250 0.250 0.769
Ge 0.750 0.750 0.231
Pt 0.000 0.250 0.498
Pt 0.000 0.750 0.502
Pt 0.001 0.750 0.985
Pt 0.250 0.000 0.619
Pt 0.250 0.500 0.619
Pt 0.499 0.750 0.985
Pt 0.500 0.250 0.498
Pt 0.500 0.750 0.502
Pt 0.501 0.250 0.015
Pt 0.750 0.000 0.381
Pt 0.750 0.500 0.381
Pt 0.999 0.250 0.015
CELL_PARAMETERS angstrom
5.544 0.000 0.000
0.000 8.552 0.000
0.000 0.000 8.220
! space-group type = Pmmn, No. 59
! D(E_F) = 0.568 states/eV/atom
! volume = 390 Å³ per cell
! uncorrected formation energy = -0.9167 eV/atom
! mass density = 13.60 g/cm³

---

Q: Which of these has the lowest volume?
A: SiHgAs2

---

Please write out number 4 again, unchanged.
! KMgZn2F8 GGA-PBE relaxed; values from VASP
&SYSTEM
  ibrav = 0, nat = 12, ntyp = 4
/
ATOMIC_SPECIES
K 39.10 K.upf
Mg 24.30 Mg.upf
Zn 65.41 Zn.upf
F 19.00 F.upf
ATOMIC_POSITIONS crystal
K 0.000 0.000 0.000
Mg 0.000 0.000 0.500
Zn 0.476 0.485 0.692
Zn 0.524 0.515 0.308
F 0.206 0.808 0.690
F 0.211 0.798 0.307
F 0.294 0.304 0.489
F 0.339 0.378 0.913
F 0.661 0.622 0.087
F 0.706 0.696 0.511
F 0.789 0.202 0.693
F 0.794 0.192 0.310
CELL_PARAMETERS angstrom
4.765 0.000 0.000
0.332 4.760 0.000
0.378 0.150 7.831
! space-group type = P-1, No. 2
! D(E_F) = 0.566 states/eV/atom
! volume = 178 Å³ per cell
! uncorrected formation energy = -2.4714 eV/atom
! mass density = 3.24 g/cm³

---

Please write out number 5 again, unchanged.
! BaAc8La6 GGA-PBE relaxed; values from VASP
&SYSTEM
  ibrav = 0, nat = 15, ntyp = 3
/
ATOMIC_SPECIES
Ba 137.33 Ba.upf
Ac 227.00 Ac.upf
La 138.91 La.upf
ATOMIC_POSITIONS crystal
Ba 0.000 0.000 0.000
Ac 0.136 0.818 0.423
Ac 0.182 0.577 0.864
Ac 0.254 0.254 0.254
Ac 0.423 0.136 0.818
Ac 0.577 0.864 0.182
Ac 0.746 0.746 0.746
Ac 0.818 0.423 0.136
Ac 0.864 0.182 0.577
La 0.081 0.379 0.657
La 0.343 0.919 0.621
La 0.379 0.657 0.081
La 0.621 0.343 0.919
La 0.657 0.081 0.379
La 0.919 0.621 0.343
CELL_PARAMETERS angstrom
5.173 2.987 7.238
-5.173 2.987 7.238
0.000 -5.973 7.238
! space-group type = R-3, No. 148
! D(E_F) = 1.651 states/eV/atom
! DFT total energy = -4.06 eV per atom
! volume = 671 Å³ per cell
! mass density = 6.90 g/cm³